DFT (PBE) results for a relaxed structure of Ba2RhSe.

```
data_Ba2RhSe
_cell_length_a 7.6292
_cell_length_b 7.6292
_cell_length_c 7.6292
_cell_angle_alpha 90.00
_cell_angle_beta 90.00
_cell_angle_gamma 90.00
_space_group_name_H-M_alt 'F -4 3 m'
_space_group_IT_number 216
_space_group_name_Hall 'F -4 2 3'
loop_
_atom_site_label
_atom_site_type_symbol
_atom_site_fract_x
_atom_site_fract_y
_atom_site_fract_z
Ba1 Ba 0.0000 0.0000 0.0000
Ba2 Ba 0.2500 0.2500 0.2500
Rh1 Rh 0.2500 0.2500 0.7500
Se1 Se 0.0000 0.0000 0.5000
```

Output
uncorrected energy = -0.29046 Ry per atom
magnetic moment = 0.00 μB per formula unit